{"formula": "Er4MgAlZn2", "functional": "GGA-PBE", "state": "relaxed", "dft_energy_ev_per_atom": -3.542, "m_tot_mub_per_cell": 0.0, "rho_g_cm3": 7.6, "lattice_angstrom": [[5.0901, 0.0000, 0.0000], [2.5451, 4.4082, 0.0000], [2.5451, 1.4694, 8.3413]], "species": ["Zn", "Zn", "Al", "Er", "Er", "Er", "Er", "Mg"], "frac_coords": [[0.7444, 0.7444, 0.7668], [0.2556, 0.2556, 0.2332], [0.5000, 0.5000, 0.5000], [0.6215, 0.6215, 0.1355], [0.3785, 0.3785, 0.8645], [0.1280, 0.1280, 0.6161], [0.8720, 0.8720, 0.3839], [0.0000, 0.0000, 0.0000]]}